Hf2NbFeAg: optimized geometry, PBE.

Formation energy from the elements in eV/atom: 1.4850
DOS at the Fermi energy in states/eV/cell: 6.94
Size of the total moment in μB/f.u.: 2.73
SG: No. 123

Cell and atoms, written as POSCAR:
```
Hf2NbFeAg
1.0
4.978 0.000 0.000
0.000 5.105 0.000
0.000 0.000 4.978
Fe Nb Hf Ag
1 1 2 1
Cartesian
2.489 2.553 2.489 Fe
0.000 0.000 0.000 Nb
2.489 0.000 0.000 Hf
0.000 0.000 2.489 Hf
0.000 2.553 0.000 Ag
```

---

HfFeAgPb2: optimized geometry, PBE.

Formation energy from the elements in eV/atom: 1.1395
DOS at the Fermi energy in states/eV/cell: 4.33
Size of the total moment in μB/f.u.: 2.77
SG: No. 123

Cell and atoms, written as POSCAR:
```
HfFeAgPb2
1.0
5.233 0.000 0.000
0.000 5.233 0.000
0.000 0.000 4.732
Hf Pb Ag Fe
1 2 1 1
Cartesian
2.616 2.616 2.366 Hf
0.000 2.616 0.000 Pb
2.616 0.000 0.000 Pb
0.000 0.000 0.000 Ag
0.000 0.000 2.366 Fe
```

---

HfFeAg2Pt: optimized geometry, PBE.

Formation energy from the elements in eV/atom: 1.1931
DOS at the Fermi energy in states/eV/cell: 6.90
Size of the total moment in μB/f.u.: 0.00
SG: No. 123

Cell and atoms, written as POSCAR:
```
HfFeAg2Pt
1.0
4.963 0.000 0.000
0.000 4.447 0.000
0.000 0.000 4.963
Ag Pt Hf Fe
2 1 1 1
Cartesian
2.482 0.000 0.000 Ag
0.000 0.000 2.482 Ag
0.000 0.000 0.000 Pt
2.482 2.223 2.482 Hf
0.000 2.223 0.000 Fe
```

---

HfFeAg2Sb: optimized geometry, PBE.

DOS at the Fermi energy in states/eV/cell: 4.44
Size of the total moment in μB/f.u.: 0.00
E_tot in eV per atom: -4.432
SG: No. 123

Cell and atoms, written as POSCAR:
```
HfFeAg2Sb
1.0
5.253 0.000 0.000
0.000 4.403 0.000
0.000 0.000 5.253
Ag Sb Fe Hf
2 1 1 1
Cartesian
2.627 0.000 0.000 Ag
0.000 0.000 2.627 Ag
2.627 2.201 2.627 Sb
0.000 2.201 0.000 Fe
0.000 0.000 0.000 Hf
```

---

- The lowest DOS at the Fermi energy belongs to which entry?
  HfFeAgPb2